Entry from the Alexandria database: an optimized crystal structure of LiMnPO4 (PBE with a Hubbard U).

Cell lengths 5.2240, 5.2240, 9.7347 Å; angles 90.00, 90.00, 120.00 degrees
With the nearest neighbours (Å) after each atom.
Fractional positions:
Li (0.0000, 0.0000, 0.7580)  3 O 1.89
Li (0.0000, 0.0000, 0.2580)  3 O 1.89
Mn (0.6667, 0.3333, 0.8786)  4 O 2.00-2.09
Mn (0.3333, 0.6667, 0.3786)  4 O 2.00-2.09
P (0.6667, 0.3333, 0.2406)  4 O 1.53-1.56
P (0.3333, 0.6667, 0.7406)  4 O 1.53-1.56
O (0.6667, 0.3333, 0.0838)  1 P 1.53
O (0.3333, 0.6667, 0.5838)  1 P 1.53
O (0.9419, 0.3230, 0.2961)  1 P 1.56
O (0.6770, 0.6189, 0.2961)  1 P 1.56
O (0.6189, 0.9419, 0.7961)  1 P 1.56
O (0.3811, 0.0581, 0.2961)  1 P 1.56
O (0.3230, 0.3811, 0.7961)  1 P 1.56
O (0.0581, 0.6770, 0.7961)  1 P 1.56

Properties
E_tot	-7.137	eV/atom
SG	P6_3
density of states at the Fermi level	0.000	states/eV/atom
magnetization	5.0	μB/f.u.